First-principles (PBE) data for crystalline Ag2Mo2Ru at its relaxed geometry, as listed in Alexandria via LeMat-Bulk.

Properties
E_form ... 788 meV/atom
Energy relative to the lowest polymorph listed for this composition ... 0.000 eV per atom

Cell lengths 6.227, 6.227, 4.701 Å; angles 90.00, 90.00, 90.00 degrees
Space group P4/mbm (No. 127)
Inequivalent atoms, fractional coordinates:
Ag 0.168 0.332 0.000 (multiplicity 4)
Mo 0.132 0.632 0.500 (multiplicity 4)
Ru 0.000 0.000 0.500 (multiplicity 2)

---

First-principles (PBE) data for crystalline AgMoRu4 at its relaxed geometry, as listed in Alexandria via LeMat-Bulk.

Properties
E_form ... 485 meV/atom

Cell lengths 7.190, 7.190, 7.190 Å; angles 90.00, 90.00, 90.00 degrees
Space group F-43m (No. 216)
Inequivalent atoms, fractional coordinates:
Ag 0.000 0.000 0.000 (multiplicity 4)
Mo 0.250 0.250 0.750 (multiplicity 4)
Ru 0.125 0.125 0.375 (multiplicity 16)

---

First-principles (PBE) data for crystalline SiAgMo2Ru at its relaxed geometry, as listed in Alexandria via LeMat-Bulk.

Properties
ΔE_f (raw) ... 1.27 eV per atom

Cell lengths 4.745, 4.745, 4.449 Å; angles 90.00, 90.00, 90.00 degrees
Space group P4/mmm (No. 123)
Inequivalent atoms, fractional coordinates:
Si 0.000 0.000 0.000 (multiplicity 1)
Ag 0.500 0.500 0.000 (multiplicity 1)
Mo 0.000 0.500 0.500 (multiplicity 2)
Ru 0.000 0.000 0.500 (multiplicity 1)

---

First-principles (PBE) data for crystalline Ta2AgMoRu at its relaxed geometry, as listed in Alexandria via LeMat-Bulk.

Properties
E_form ... 2424 meV/atom

Cell lengths 4.814, 4.814, 4.726 Å; angles 90.00, 90.00, 90.00 degrees
Space group P4/mmm (No. 123)
Inequivalent atoms, fractional coordinates:
Ta 0.000 0.500 0.000 (multiplicity 2)
Ag 0.000 0.000 0.000 (multiplicity 1)
Mo 0.000 0.000 0.500 (multiplicity 1)
Ru 0.500 0.500 0.500 (multiplicity 1)

---

First-principles (PBE) data for crystalline Ti2AgMoRu at its relaxed geometry, as listed in Alexandria via LeMat-Bulk.

Properties
E_form ... 1328 meV/atom

Cell lengths 4.518, 4.518, 4.998 Å; angles 90.00, 90.00, 90.00 degrees
Space group P4/mmm (No. 123)
Inequivalent atoms, fractional coordinates:
Ti 0.000 0.500 0.000 (multiplicity 2)
Ag 0.000 0.000 0.500 (multiplicity 1)
Mo 0.000 0.000 0.000 (multiplicity 1)
Ru 0.500 0.500 0.500 (multiplicity 1)

---

First-principles (PBE) data for crystalline YAgMoRu2 at its relaxed geometry, as listed in Alexandria via LeMat-Bulk.

Properties
E_form ... 1924 meV/atom

Cell lengths 4.864, 4.864, 4.985 Å; angles 90.00, 90.00, 90.00 degrees
Space group P4/mmm (No. 123)
Inequivalent atoms, fractional coordinates:
Y 0.000 0.000 0.000 (multiplicity 1)
Ag 0.000 0.000 0.500 (multiplicity 1)
Mo 0.500 0.500 0.000 (multiplicity 1)
Ru 0.000 0.500 0.500 (multiplicity 2)

---

First-principles (PBE) data for crystalline Ag2MoS at its relaxed geometry, as listed in Alexandria via LeMat-Bulk.

Properties
ΔE_f (raw) ... 0.60 eV per atom

Cell lengths 7.758, 7.758, 4.865 Å; angles 90.00, 90.00, 90.00 degrees
Space group I-42d (No. 122)
Inequivalent atoms, fractional coordinates:
Ag 0.202 0.250 0.125 (multiplicity 8)
Mo 0.000 0.000 0.500 (multiplicity 4)
S 0.000 0.000 0.000 (multiplicity 4)

---

First-principles (PBE) data for crystalline AgMoS2 at its relaxed geometry, as listed in Alexandria via LeMat-Bulk.

Properties
ΔE_f (raw) ... -0.37 eV per atom
Energy relative to the lowest polymorph listed for this composition ... 0.000 eV per atom

Cell lengths 3.2302, 3.2302, 24.2181 Å; angles 90.00, 90.00, 120.00 degrees
Space group R-3m (No. 166, hexagonal axes)
Inequivalent atoms, fractional coordinates:
Ag 0.0000 0.0000 0.0000 (multiplicity 3)
Mo 0.0000 0.0000 0.5000 (multiplicity 3)
S 0.0000 0.0000 0.1018 (multiplicity 6)

---

First-principles (PBE) data for crystalline AgMo2S2 at its relaxed geometry, as listed in Alexandria via LeMat-Bulk.

Properties
ΔE_f (raw) ... 0.10 eV per atom
Energy relative to the lowest polymorph listed for this composition ... 0.000 eV per atom

Cell lengths 4.636, 4.636, 8.246 Å; angles 90.00, 90.00, 90.00 degrees
Space group I4/mmm (No. 139)
Inequivalent atoms, fractional coordinates:
Ag 0.000 0.000 0.000 (multiplicity 2)
Mo 0.000 0.000 0.364 (multiplicity 4)
S 0.000 0.500 0.250 (multiplicity 4)

---

First-principles (PBE) data for crystalline AgMoS2 at its relaxed geometry, as listed in Alexandria via LeMat-Bulk.

Properties
ΔE_f (raw) ... 0.23 eV per atom
Energy relative to the lowest polymorph listed for this composition ... 0.593 eV per atom

Cell lengths 6.290, 6.290, 6.290 Å; angles 90.00, 90.00, 90.00 degrees
Space group Fm-3m (No. 225)
Inequivalent atoms, fractional coordinates:
Ag 0.000 0.000 0.000 (multiplicity 4)
Mo 0.000 0.000 0.500 (multiplicity 4)
S 0.250 0.250 0.250 (multiplicity 8)

---

First-principles (PBE) data for crystalline AgMo2S2 at its relaxed geometry, as listed in Alexandria via LeMat-Bulk.

Properties
ΔE_f (raw) ... 0.16 eV per atom
Energy relative to the lowest polymorph listed for this composition ... 0.051 eV per atom

Cell lengths 7.138, 7.138, 3.019 Å; angles 90.00, 90.00, 90.00 degrees
Space group P4/mbm (No. 127)
Inequivalent atoms, fractional coordinates:
Ag 0.000 0.000 0.000 (multiplicity 2)
Mo 0.144 0.356 0.000 (multiplicity 4)
S 0.145 0.645 0.500 (multiplicity 4)

---

First-principles (PBE) data for crystalline AgMoS2 at its relaxed geometry, as listed in Alexandria via LeMat-Bulk.

Properties
ΔE_f (raw) ... -0.09 eV per atom
Energy relative to the lowest polymorph listed for this composition ... 0.280 eV per atom

Cell lengths 5.720, 5.720, 10.765 Å; angles 90.00, 90.00, 90.00 degrees
Space group I-42d (No. 122)
Inequivalent atoms, fractional coordinates:
Ag 0.000 0.000 0.000 (multiplicity 4)
Mo 0.000 0.000 0.500 (multiplicity 4)
S 0.210 0.250 0.625 (multiplicity 8)

---

First-principles (PBE) data for crystalline AgMoS3 at its relaxed geometry, as listed in Alexandria via LeMat-Bulk.

Properties
ΔE_f (raw) ... 1.16 eV per atom
Energy relative to the lowest polymorph listed for this composition ... 1.021 eV per atom

Cell lengths 4.763, 4.763, 4.763 Å; angles 90.00, 90.00, 90.00 degrees
Space group Pm-3m (No. 221)
Inequivalent atoms, fractional coordinates:
Ag 0.000 0.000 0.000 (multiplicity 1)
Mo 0.500 0.500 0.500 (multiplicity 1)
S 0.000 0.000 0.500 (multiplicity 3)

---

First-principles (PBE) data for crystalline AgMoS3 at its relaxed geometry, as listed in Alexandria via LeMat-Bulk.

Properties
ΔE_f (raw) ... 0.13 eV per atom
Energy relative to the lowest polymorph listed for this composition ... 0.000 eV per atom

Cell lengths 4.712, 4.712, 4.712 Å; angles 90.00, 90.00, 90.00 degrees
Space group Pm-3m (No. 221)
Inequivalent atoms, fractional coordinates:
Ag 0.000 0.000 0.000 (multiplicity 1)
Mo 0.500 0.500 0.500 (multiplicity 1)
S 0.000 0.500 0.500 (multiplicity 3)

---

First-principles (PBE) data for crystalline AgMoS at its relaxed geometry, as listed in Alexandria via LeMat-Bulk.

Properties
ΔE_f (raw) ... -0.02 eV per atom

Cell lengths 5.520, 4.388, 9.458 Å; angles 90.00, 93.81, 90.00 degrees
Space group C2/m (No. 12)
Inequivalent atoms, fractional coordinates:
Ag 0.224 0.000 0.088 (multiplicity 4)
Mo 0.211 0.500 0.569 (multiplicity 4)
S 0.158 0.500 0.314 (multiplicity 4)

---

Record order is preserved below.
Total magnetic moment: 0.0 0.0 0.0 2.0 1.2 2.1 1.7 0.0 0.0 1.0 0.0 0.0 2.8 0.0 0.0 μB per formula unit